! TaPb4W (PBE-GGA, relaxed); values from VASP
&SYSTEM
  ibrav = 0, nat = 6, ntyp = 3
/
ATOMIC_SPECIES
Ta 180.95 Ta.upf
Pb 207.20 Pb.upf
W 183.84 W.upf
ATOMIC_POSITIONS angstrom
Ta 6.5141 6.5141 6.5141
Pb 3.2562 5.4293 5.4293
Pb 5.4293 3.2562 5.4293
Pb 5.4293 5.4293 3.2562
Pb 3.2562 3.2562 3.2562
W 0.0000 0.0000 0.0000
CELL_PARAMETERS angstrom
0.0000 4.3427 4.3427
4.3427 0.0000 4.3427
4.3427 4.3427 0.0000
! Symmetry   F-43m, No. 216
! Calculated formation energy   1.611 eV/atom

***

! Cu2WBr (PBE-GGA, relaxed); values from VASP
&SYSTEM
  ibrav = 0, nat = 4, ntyp = 3
/
ATOMIC_SPECIES
Cu 63.55 Cu.upf
W 183.84 W.upf
Br 79.90 Br.upf
ATOMIC_POSITIONS angstrom
Cu 4.8047 4.8047 4.8047
Cu 1.6016 1.6016 1.6016
W 3.2032 3.2032 3.2032
Br 0.0000 0.0000 0.0000
CELL_PARAMETERS angstrom
0.0000 3.2032 3.2032
3.2032 0.0000 3.2032
3.2032 3.2032 0.0000
! Symmetry   Fm-3m, No. 225
! Polymorph energy (0 for the lowest one)   83.1 kJ/mol of atoms

***

! Hf12Zr6In (PBE-GGA, relaxed); values from VASP
&SYSTEM
  ibrav = 0, nat = 19, ntyp = 3
/
ATOMIC_SPECIES
Hf 178.49 Hf.upf
Zr 91.22 Zr.upf
In 114.82 In.upf
ATOMIC_POSITIONS angstrom
Hf 1.0686 -4.4658 2.9854
Hf -2.2680 -3.8804 -3.1676
Hf -0.9658 -2.3319 1.8733
Hf -3.1769 -3.2134 -0.2454
Hf -0.1771 -5.9656 -2.1981
Hf -5.2113 -1.0795 -1.3575
Hf -1.8746 -1.6649 4.7954
Hf -3.0965 -0.2089 0.8418
Hf -3.9655 0.4203 3.8260
Hf -0.1062 -3.0496 -1.0886
Hf -4.0365 -2.4957 2.7165
Hf -1.0461 -5.3364 0.7860
Zr -1.9533 -4.6632 3.7471
Zr -4.3940 -1.6600 -4.3161
Zr 0.2514 -3.8853 5.9439
Zr 1.9724 -5.1368 -0.0153
Zr -2.1893 -0.8821 -2.1193
Zr -6.1151 -0.4085 1.6432
In 0.0000 0.0000 0.0000
CELL_PARAMETERS angstrom
-3.4732 -2.3210 -7.2878
4.0721 -7.2839 1.0468
-4.7415 4.0596 7.8689
! Symmetry   P-1, No. 2
! Calculated formation energy   0.013 eV/atom

***

! Y2AlAg (PBE-GGA, relaxed); values from VASP
&SYSTEM
  ibrav = 0, nat = 4, ntyp = 3
/
ATOMIC_SPECIES
Y 88.91 Y.upf
Al 26.98 Al.upf
Ag 107.87 Ag.upf
ATOMIC_POSITIONS angstrom
Y 0.2850 0.0561 0.0332
Y 6.4243 1.2655 0.7495
Al 20.5737 4.0527 2.4004
Ag 13.1626 2.5928 1.5357
CELL_PARAMETERS angstrom
9.4536 0.0204 0.0121
8.7551 3.5664 0.0121
8.7551 1.7246 3.1217
! Symmetry   R3m, No. 160
! Calculated formation energy   -0.016 eV/atom

***

! LiPm2Al4Pd3 (PBE-GGA, relaxed); values from VASP
&SYSTEM
  ibrav = 0, nat = 10, ntyp = 4
/
ATOMIC_SPECIES
Pd 106.42 Pd.upf
Pm 145.00 Pm.upf
Li 6.94 Li.upf
Al 26.98 Al.upf
ATOMIC_POSITIONS angstrom
Pd 0.0791 0.5471 5.4317
Pd -0.2759 -1.9307 1.6594
Pd -1.9499 1.2470 9.4179
Pm -0.1770 -1.2472 8.4453
Pm -2.0487 0.5635 2.6320
Li -2.3048 -1.2308 5.6455
Al -0.2390 -1.6756 4.1918
Al -2.3840 -1.7778 0.2138
Al -1.9868 0.9919 6.8855
Al 0.0000 0.0000 0.0000
CELL_PARAMETERS angstrom
-4.1741 0.5970 0.0007
-0.5938 -4.1526 0.4269
0.1582 1.0941 10.8635
! Symmetry   P-4m2, No. 115
! Calculated formation energy   -0.706 eV/atom

***

! AcHoGaNi (PBE-GGA, relaxed); values from VASP
&SYSTEM
  ibrav = 0, nat = 4, ntyp = 4
/
ATOMIC_SPECIES
Ga 69.72 Ga.upf
Ac 227.00 Ac.upf
Ni 58.69 Ni.upf
Ho 164.93 Ho.upf
ATOMIC_POSITIONS angstrom
Ga -0.8024 -3.8233 8.6672
Ac -0.5349 -2.5489 5.7781
Ni -0.2675 -1.2744 2.8891
Ho 0.0000 0.0000 0.0000
CELL_PARAMETERS angstrom
-3.3329 -1.5359 3.6486
1.0735 -4.1457 2.9053
1.1896 0.5838 5.0024
! Symmetry   F-43m, No. 216
! Calculated formation energy   -0.279 eV/atom

***

! MnGeHRu2 (PBE-GGA, relaxed); values from VASP
&SYSTEM
  ibrav = 0, nat = 5, ntyp = 4
/
ATOMIC_SPECIES
Ge 72.64 Ge.upf
Mn 54.94 Mn.upf
Ru 101.07 Ru.upf
H 1.01 H.upf
ATOMIC_POSITIONS angstrom
Ge 2.0098 2.0098 1.7794
Mn 0.0000 0.0000 1.7794
Ru 2.0098 0.0000 0.0000
Ru 0.0000 2.0098 0.0000
H 0.0000 0.0000 0.0000
CELL_PARAMETERS angstrom
4.0195 0.0000 0.0000
0.0000 4.0195 0.0000
0.0000 0.0000 3.5588
! Symmetry   P4/mmm, No. 123
! Total energy   -7.2158 eV/atom

***

! TmI2Br (PBE-GGA, relaxed); values from VASP
&SYSTEM
  ibrav = 0, nat = 4, ntyp = 3
/
ATOMIC_SPECIES
I 126.90 I.upf
Tm 168.93 Tm.upf
Br 79.90 Br.upf
ATOMIC_POSITIONS angstrom
I 2.1423 -2.1128 0.0000
I 2.1423 2.1128 0.0000
Tm 4.2870 0.0000 0.0000
Br 4.2844 0.0000 2.7627
CELL_PARAMETERS angstrom
2.1444 -8.4016 0.0000
2.1444 8.4016 0.0000
0.0000 0.0000 5.5254
! Symmetry   Cmmm, No. 65
! Polymorph energy (0 for the lowest one)   0.0 kJ/mol of atoms

***

no.,total magnetic moment (Bohr magnetons per cell)
1,0.936
2,2.537
3,0.000
4,0.709
5,0.000
6,0.000
7,3.613
8,0.000